Record 1
# BiPbSe2

A geometry-optimized BiPbSe2 structure (PBE, Alexandria).

Values from the calculation:
- Crystal system: orthorhombic
- E_tot: -3.95 eV per atom

abc: 12.741 4.424 8.843
angles: 90.00 90.00 90.00
Positions (direct):
1 Bi 0.052 0.250 0.120
2 Bi 0.448 0.750 0.620
3 Bi 0.552 0.250 0.380
4 Bi 0.948 0.750 0.880
5 Pb 0.140 0.250 0.588
6 Pb 0.360 0.750 0.088
7 Pb 0.640 0.250 0.912
8 Pb 0.860 0.750 0.412
9 Se 0.084 0.750 0.344
10 Se 0.157 0.750 0.823
11 Se 0.343 0.250 0.323
12 Se 0.416 0.250 0.844
13 Se 0.584 0.750 0.156
14 Se 0.657 0.750 0.677
15 Se 0.843 0.250 0.177
16 Se 0.916 0.250 0.656

Record 2
# BiPb2Se

A geometry-optimized BiPb2Se structure (PBE, Alexandria).

Values from the calculation:
- Crystal system: trigonal
- E above lowest polymorph: 0.047 eV/atom

abc: 9.089 9.089 9.089
angles: 26.41 26.41 26.41
Positions (direct):
1 Bi 0.000 0.000 0.000
2 Pb 0.566 0.566 0.566
3 Pb 0.750 0.750 0.750
4 Se 0.168 0.168 0.168